1.
Material: Cs2KAs2
Method: DFT, meta-GGA SCAN
State: PBEsol geometry

abc: 8.3676 8.3676 5.5920
angles: 90.00 90.00 90.00
Sites, in units of the cell vectors:
Cs1 0.1696 0.3304 0.0000
Cs2 0.3304 0.8304 0.0000
Cs3 0.6696 0.1696 0.0000
Cs4 0.8304 0.6696 0.0000
K1 0.0000 0.0000 0.5000
K2 0.5000 0.5000 0.5000
As1 0.1016 0.6016 0.5000
As2 0.3984 0.1016 0.5000
As3 0.6016 0.8984 0.5000
As4 0.8984 0.3984 0.5000

Computed properties:
Mass density (g cm⁻³): 3.9
Calculated volume (Å³ per atom): 39.15
Electronic total energy (eV for the cell shown): -252.947
Formation energy from the elements (meV per atom): -429

2.
Material: Cs2NaLaBr6
Method: DFT, meta-GGA SCAN
State: PBEsol geometry

abc: 8.1086 8.1086 8.1086
angles: 60.00 60.00 60.00
Sites, in units of the cell vectors:
Cs1 0.2500 0.2500 0.2500
Cs2 0.7500 0.7500 0.7500
Na1 0.0000 0.0000 0.0000
La1 0.5000 0.5000 0.5000
Br1 0.2488 0.2488 0.7512
Br2 0.2488 0.7512 0.2488
Br3 0.2488 0.7512 0.7512
Br4 0.7512 0.2488 0.2488
Br5 0.7512 0.2488 0.7512
Br6 0.7512 0.7512 0.2488

Computed properties:
Mass density (g cm⁻³): 4.0
Calculated volume (Å³ per atom): 37.70
Electronic total energy (eV for the cell shown): -260.511